Record 1
## Ta2TlIr (PBE-GGA)

Data for a geometry-optimized Ta2TlIr structure.

a b c (Å): 2.9361 4.7051 5.2424
angles (deg): 90.00 94.23 90.00
Fractional coordinates of all 4 atoms:
1 Ta 0.0000 0.0000 0.0000
2 Ta 0.1498 0.5000 0.6992
3 Tl 0.5726 0.5000 0.2071
4 Ir 0.5767 0.0000 0.5283

Computed properties:
As for the space group: Pm (6). The energy of formation comes out at 0.167 eV per atom. For the energy above the most stable polymorph in this dataset, the calculation gives 65 kJ/mol of formula units.



Record 2
## NaCa3Ge (PBE-GGA)

Data for a geometry-optimized NaCa3Ge structure.

a b c (Å): 5.8129 5.8129 5.8129
angles (deg): 90.00 90.00 90.00
Fractional coordinates of all 5 atoms:
1 Na 0.0000 0.0000 0.0000
2 Ca 0.0000 0.5000 0.5000
3 Ca 0.5000 0.0000 0.5000
4 Ca 0.5000 0.5000 0.0000
5 Ge 0.5000 0.5000 0.5000

Computed properties:
As for the space group: Pm-3m (221). The energy of formation comes out at -0.209 eV per atom. For the energy above the most stable polymorph in this dataset, the calculation gives 0 kJ/mol of formula units.



Record 3
## Tb2Sm2HoEr (PBE-GGA)

Data for a geometry-optimized Tb2Sm2HoEr structure.

a b c (Å): 6.9863 5.6289 9.7456
angles (deg): 90.00 90.00 90.00
Fractional coordinates of all 12 atoms:
1 Tb 0.2500 0.0000 0.1622
2 Tb 0.2500 0.5000 0.6699
3 Tb 0.7500 0.0000 0.8378
4 Tb 0.7500 0.5000 0.3301
5 Sm 0.0000 0.5000 0.0000
6 Sm 0.2500 0.0000 0.8235
7 Sm 0.5000 0.5000 0.0000
8 Sm 0.7500 0.0000 0.1765
9 Ho 0.2500 0.5000 0.3410
10 Ho 0.7500 0.5000 0.6590
11 Er 0.0000 0.0000 0.5000
12 Er 0.5000 0.0000 0.5000

Computed properties:
As for the space group: Pmma (51). The energy of formation comes out at 0.065 eV per atom.



Record 4
## LiCaMg10 (PBE-GGA)

Data for a geometry-optimized LiCaMg10 structure.

a b c (Å): 5.1154 5.9373 10.3656
angles (deg): 90.00 90.00 90.00
Fractional coordinates of all 12 atoms:
1 Li 0.0000 0.0000 0.0000
2 Ca 0.0000 0.5000 0.5000
3 Mg 0.0000 0.0000 0.3264
4 Mg 0.0000 0.0000 0.6736
5 Mg 0.0000 0.5000 0.1611
6 Mg 0.0000 0.5000 0.8389
7 Mg 0.5000 0.0000 0.5000
8 Mg 0.5000 0.2535 0.2534
9 Mg 0.5000 0.2535 0.7466
10 Mg 0.5000 0.5000 0.0000
11 Mg 0.5000 0.7465 0.2534
12 Mg 0.5000 0.7465 0.7466

Computed properties:
As for the space group: Pmmm (47). The energy of formation comes out at 0.054 eV per atom.



Record 5
## Nb3Co5 (PBE-GGA)

Data for a geometry-optimized Nb3Co5 structure.

a b c (Å): 5.0823 5.0823 8.6162
angles (deg): 90.00 90.00 73.19
Fractional coordinates of all 16 atoms:
1 Nb 0.1257 0.8743 0.7500
2 Nb 0.2933 0.2933 0.0000
3 Nb 0.2933 0.2933 0.5000
4 Nb 0.7067 0.7067 0.0000
5 Nb 0.7067 0.7067 0.5000
6 Nb 0.8743 0.1257 0.2500
7 Co 0.0025 0.4355 0.7500
8 Co 0.1900 0.8100 0.0503
9 Co 0.1900 0.8100 0.4497
10 Co 0.4355 0.0025 0.2500
11 Co 0.4752 0.5248 0.2500
12 Co 0.5248 0.4752 0.7500
13 Co 0.5645 0.9975 0.7500
14 Co 0.8100 0.1900 0.5503
15 Co 0.8100 0.1900 0.9497
16 Co 0.9975 0.5645 0.2500

Computed properties:
As for the space group: Cmcm (63). The energy of formation comes out at -0.127 eV per atom.



Record 6
## Gd2TmPb (PBE-GGA)

Data for a geometry-optimized Gd2TmPb structure.

a b c (Å): 12.2206 12.2206 12.2206
angles (deg): 16.64 16.64 16.64
Fractional coordinates of all 4 atoms:
1 Gd 0.0888 0.0888 0.0888
2 Gd 0.9112 0.9112 0.9112
3 Tm 0.5000 0.5000 0.5000
4 Pb 0.0000 0.0000 0.0000

Computed properties:
As for the space group: R-3m (166). The energy of formation comes out at 0.049 eV per atom. For the energy above the most stable polymorph in this dataset, the calculation gives 137 kJ/mol of formula units.



Record 7
## Ge2Sb2Au (PBE-GGA)

Data for a geometry-optimized Ge2Sb2Au structure.

a b c (Å): 8.8016 8.8016 8.8016
angles (deg): 155.63 155.63 34.74
Fractional coordinates of all 5 atoms:
1 Ge 0.2500 0.7500 0.5000
2 Ge 0.7500 0.2500 0.5000
3 Sb 0.0936 0.0936 0.0000
4 Sb 0.9064 0.9064 0.0000
5 Au 0.5000 0.5000 0.0000

Computed properties:
As for the space group: I4/mmm (139). For the energy above the most stable polymorph in this dataset, the calculation gives 67 kJ/mol of formula units.



Record 8
## GaBAs2Br (PBE-GGA)

Data for a geometry-optimized GaBAs2Br structure.

a b c (Å): 4.9135 4.9135 5.3006
angles (deg): 90.00 90.00 90.00
Fractional coordinates of all 5 atoms:
1 Ga 0.0000 0.0000 0.0000
2 B 0.5000 0.5000 0.5000
3 As 0.0000 0.5000 0.0000
4 As 0.5000 0.0000 0.0000
5 Br 0.0000 0.0000 0.5000

Computed properties:
As for the space group: P4/mmm (123). For the energy above the most stable polymorph in this dataset, the calculation gives 364 kJ/mol of formula units.



Record 9
## MnCdHSe2 (PBE-GGA)

Data for a geometry-optimized MnCdHSe2 structure.

a b c (Å): 3.8280 4.3016 6.8163
angles (deg): 81.20 73.73 63.75
Fractional coordinates of all 5 atoms:
1 Mn 0.0000 0.0000 0.0000
2 Cd 0.9784 0.5558 0.4971
3 H 0.2353 0.6641 0.8660
4 Se 0.5127 0.1264 0.7161
5 Se 0.6626 0.5982 0.1786

Computed properties:
As for the space group: P1 (1). For the energy above the most stable polymorph in this dataset, the calculation gives 41 kJ/mol of formula units.



Record 10
## Be2PH (PBE-GGA)

Data for a geometry-optimized Be2PH structure.

a b c (Å): 3.7170 3.7170 3.7170
angles (deg): 60.00 60.00 60.00
Fractional coordinates of all 4 atoms:
1 Be 0.2500 0.2500 0.2500
2 Be 0.7500 0.7500 0.7500
3 P 0.0000 0.0000 0.0000
4 H 0.5000 0.5000 0.5000

Computed properties:
As for the space group: Fm-3m (225). For the energy above the most stable polymorph in this dataset, the calculation gives 237 kJ/mol of formula units.



Record 11
## Dy6Hg2O (PBE-GGA)

Data for a geometry-optimized Dy6Hg2O structure.

a b c (Å): 6.5970 6.9495 11.9726
angles (deg): 90.00 122.86 90.00
Fractional coordinates of all 18 atoms:
1 Dy 0.1400 0.0026 0.2445
2 Dy 0.1400 0.4974 0.7445
3 Dy 0.2264 0.7062 0.0393
4 Dy 0.2264 0.7938 0.5393
5 Dy 0.3459 0.1978 0.0414
6 Dy 0.3459 0.3022 0.5414
7 Dy 0.6541 0.6978 0.4586
8 Dy 0.6541 0.8022 0.9586
9 Dy 0.7736 0.2062 0.4607
10 Dy 0.7736 0.2938 0.9607
11 Dy 0.8600 0.5026 0.2555
12 Dy 0.8600 0.9974 0.7555
13 Hg 0.3023 0.0786 0.7503
14 Hg 0.3023 0.4214 0.2503
15 Hg 0.6977 0.5786 0.7497
16 Hg 0.6977 0.9214 0.2497
17 O 0.0000 0.0000 0.0000
18 O 0.0000 0.5000 0.5000

Computed properties:
Its calculated total energy is -81.10 eV/cell. As for the space group: P2_1/c (14).



Record 12
## Hg3Bi (PBE-GGA)

Data for a geometry-optimized Hg3Bi structure.

a b c (Å): 6.4784 6.4784 6.4784
angles (deg): 148.39 129.27 61.02
Fractional coordinates of all 4 atoms:
1 Hg 0.0000 0.0000 0.0000
2 Hg 0.2435 0.7435 0.5000
3 Hg 0.7565 0.2565 0.5000
4 Bi 0.5000 0.5000 0.0000

Computed properties:
As for the space group: Immm (71). The energy of formation comes out at 0.093 eV per atom.



Record 13
## LiLaGa2 (PBE-GGA)

Data for a geometry-optimized LiLaGa2 structure.

a b c (Å): 5.8389 5.8389 6.8099
angles (deg): 90.00 90.00 131.46
Fractional coordinates of all 8 atoms:
1 Li 0.1925 0.8075 0.7500
2 Li 0.8075 0.1925 0.2500
3 La 0.1163 0.8837 0.2500
4 La 0.8837 0.1163 0.7500
5 Ga 0.3877 0.6123 0.0600
6 Ga 0.3877 0.6123 0.4400
7 Ga 0.6123 0.3877 0.5600
8 Ga 0.6123 0.3877 0.9400

Computed properties:
As for the space group: Cmcm (63). The energy of formation comes out at -0.506 eV per atom.



Record 14
## Y2ZrIn (PBE-GGA)

Data for a geometry-optimized Y2ZrIn structure.

a b c (Å): 10.9887 10.9887 10.9887
angles (deg): 17.98 17.98 17.98
Fractional coordinates of all 4 atoms:
1 Y 0.0000 0.0000 0.0000
2 Y 0.2397 0.2397 0.2397
3 Zr 0.7475 0.7475 0.7475
4 In 0.4908 0.4908 0.4908

Computed properties:
As for the space group: R3m (160). The energy of formation comes out at -0.059 eV per atom. For the energy above the most stable polymorph in this dataset, the calculation gives 54 kJ/mol of formula units.



Record 15
## ZrPW2 (PBE-GGA)

Data for a geometry-optimized ZrPW2 structure.

a b c (Å): 2.9347 2.9347 8.2749
angles (deg): 90.00 90.00 110.45
Fractional coordinates of all 4 atoms:
1 Zr 0.0000 0.0000 0.0000
2 P 0.0000 0.0000 0.5000
3 W 0.5000 0.5000 0.2858
4 W 0.5000 0.5000 0.7142

Computed properties:
As for the space group: Cmmm (65). The energy of formation comes out at 0.091 eV per atom.



Record 16
## KHfGa (PBE-GGA)

Data for a geometry-optimized KHfGa structure.

a b c (Å): 5.6757 5.6757 10.4194
angles (deg): 90.00 90.00 120.00
Fractional coordinates of all 6 atoms:
1 K 0.3333 0.6667 0.2500
2 K 0.6667 0.3333 0.7500
3 Hf 0.0000 0.0000 0.0000
4 Hf 0.0000 0.0000 0.5000
5 Ga 0.0000 0.0000 0.2500
6 Ga 0.0000 0.0000 0.7500

Computed properties:
As for the space group: P6_3/mmc (194). The energy of formation comes out at 1.358 eV per atom. For the energy above the most stable polymorph in this dataset, the calculation gives 416 kJ/mol of formula units.



Record 17
## Rb2LiUS5 (PBE-GGA)

Data for a geometry-optimized Rb2LiUS5 structure.

a b c (Å): 9.7412 9.7412 14.0997
angles (deg): 90.00 90.00 155.78
Fractional coordinates of all 18 atoms:
1 Rb 0.0835 0.9165 0.5000
2 Rb 0.1306 0.8694 0.1431
3 Rb 0.8694 0.1306 0.6431
4 Rb 0.9165 0.0835 0.0000
5 Li 0.4203 0.5797 0.2953
6 Li 0.5797 0.4203 0.7953
7 U 0.2198 0.7802 0.8643
8 U 0.7802 0.2198 0.3643
9 S 0.0916 0.9084 0.8935
10 S 0.2669 0.7331 0.4804
11 S 0.2952 0.7048 0.2481
12 S 0.3458 0.6542 0.8353
13 S 0.4915 0.5085 0.1583
14 S 0.5085 0.4915 0.6583
15 S 0.6542 0.3458 0.3353
16 S 0.7048 0.2952 0.7481
17 S 0.7331 0.2669 0.9804
18 S 0.9084 0.0916 0.3935

Computed properties:
Its calculated total energy is -90.48 eV/cell. As for the space group: Cmc2_1 (36).



Record 18
## Ti2VH (PBE-GGA)

Data for a geometry-optimized Ti2VH structure.

a b c (Å): 5.1271 5.1271 5.1271
angles (deg): 108.48 108.48 111.48
Fractional coordinates of all 8 atoms:
1 Ti 0.0324 0.6250 0.9074
2 Ti 0.3750 0.2824 0.4074
3 Ti 0.7176 0.1250 0.0926
4 Ti 0.8750 0.9676 0.5926
5 V 0.2500 0.7500 0.5000
6 V 0.5000 0.5000 0.0000
7 H 0.0000 0.0000 0.0000
8 H 0.7500 0.2500 0.5000

Computed properties:
As for the space group: I-42d (122). For the energy above the most stable polymorph in this dataset, the calculation gives 66 kJ/mol of formula units.



Record 19
## Tb15Dy4Mg (PBE-GGA)

Data for a geometry-optimized Tb15Dy4Mg structure.

a b c (Å): 5.0061 5.0061 25.0790
angles (deg): 90.00 90.00 90.00
Fractional coordinates of all 20 atoms:
1 Tb 0.0000 0.0000 0.0000
2 Tb 0.0000 0.0000 0.1965
3 Tb 0.0000 0.0000 0.3989
4 Tb 0.0000 0.0000 0.6011
5 Tb 0.0000 0.0000 0.8035
6 Tb 0.0000 0.5000 0.0981
7 Tb 0.0000 0.5000 0.2986
8 Tb 0.0000 0.5000 0.5000
9 Tb 0.0000 0.5000 0.7014
10 Tb 0.0000 0.5000 0.9019
11 Tb 0.5000 0.0000 0.0981
12 Tb 0.5000 0.0000 0.2986
13 Tb 0.5000 0.0000 0.5000
14 Tb 0.5000 0.0000 0.7014
15 Tb 0.5000 0.0000 0.9019
16 Dy 0.5000 0.5000 0.1977
17 Dy 0.5000 0.5000 0.3994
18 Dy 0.5000 0.5000 0.6006
19 Dy 0.5000 0.5000 0.8023
20 Mg 0.5000 0.5000 0.0000

Computed properties:
As for the space group: P4/mmm (123). The energy of formation comes out at 0.016 eV per atom.



Record 20
## RbSrSb4 (PBE-GGA)

Data for a geometry-optimized RbSrSb4 structure.

a b c (Å): 6.5600 6.5600 6.5600
angles (deg): 60.00 60.00 60.00
Fractional coordinates of all 6 atoms:
1 Rb 0.0000 0.0000 0.0000
2 Sr 0.2500 0.2500 0.2500
3 Sb 0.1263 0.6246 0.6246
4 Sb 0.6246 0.1263 0.6246
5 Sb 0.6246 0.6246 0.1263
6 Sb 0.6246 0.6246 0.6246

Computed properties:
As for the space group: F-43m (216). For the energy above the most stable polymorph in this dataset, the calculation gives 57 kJ/mol of formula units.



Record 21
## Cu2NiH (PBE-GGA)

Data for a geometry-optimized Cu2NiH structure.

a b c (Å): 3.8844 3.8844 3.8844
angles (deg): 60.00 60.00 60.00
Fractional coordinates of all 4 atoms:
1 Cu 0.2500 0.2500 0.2500
2 Cu 0.7500 0.7500 0.7500
3 Ni 0.0000 0.0000 0.0000
4 H 0.5000 0.5000 0.5000

Computed properties:
As for the space group: Fm-3m (225). For the energy above the most stable polymorph in this dataset, the calculation gives 246 kJ/mol of formula units.



Record 22
## ScTeNF2 (PBE-GGA)

Data for a geometry-optimized ScTeNF2 structure.

a b c (Å): 4.6201 4.6201 4.1744
angles (deg): 90.00 90.00 90.00
Fractional coordinates of all 5 atoms:
1 Sc 0.0000 0.0000 0.0000
2 Te 0.5000 0.5000 0.5000
3 N 0.5000 0.5000 0.0000
4 F 0.0000 0.5000 0.5000
5 F 0.5000 0.0000 0.5000

Computed properties:
As for the space group: P4/mmm (123). For the energy above the most stable polymorph in this dataset, the calculation gives 561 kJ/mol of formula units.



Record 23
## ScRe2As (PBE-GGA)

Data for a geometry-optimized ScRe2As structure.

a b c (Å): 2.9485 4.1509 5.2767
angles (deg): 90.00 90.00 90.00
Fractional coordinates of all 4 atoms:
1 Sc 0.0000 0.0000 0.0000
2 Re 0.0000 0.0000 0.5102
3 Re 0.5000 0.5000 0.7095
4 As 0.5000 0.5000 0.2318

Computed properties:
As for the space group: Pmm2 (25). The energy of formation comes out at -0.029 eV per atom.



Record 24
## YSc2SnAu (PBE-GGA)

Data for a geometry-optimized YSc2SnAu structure.

a b c (Å): 5.3817 5.3817 5.1726
angles (deg): 90.00 90.00 90.00
Fractional coordinates of all 5 atoms:
1 Y 0.0000 0.0000 0.0000
2 Sc 0.0000 0.5000 0.0000
3 Sc 0.5000 0.0000 0.0000
4 Sn 0.5000 0.5000 0.5000
5 Au 0.0000 0.0000 0.5000

Computed properties:
As for the space group: P4/mmm (123). The energy of formation comes out at 0.759 eV per atom.



Record 25
## LiCd2Sb (PBE-GGA)

Data for a geometry-optimized LiCd2Sb structure.

a b c (Å): 3.3845 4.3892 6.3483
angles (deg): 90.00 98.77 90.00
Fractional coordinates of all 4 atoms:
1 Li 0.0000 0.0000 0.0000
2 Cd 0.3538 0.5000 0.7072
3 Cd 0.8002 0.0000 0.4999
4 Sb 0.5557 0.5000 0.1771

Computed properties:
Its calculated total energy is -8.49 eV/cell. As for the space group: Pm (6).